1.
A plane-wave DFT calculation with PBE was carried out for a geometry-optimized Li2AlCdAu4 structure.

Unit cell a=4.501 b=4.501 c=8.062 alpha=73.79 beta=73.79 gamma=60.00
Atoms (fractional coordinates):
Au (0.869, 0.869, 0.393)
Au (0.387, 0.387, 0.840)
Au (0.613, 0.613, 0.160)
Au (0.131, 0.131, 0.607)
Li (0.746, 0.746, 0.761)
Li (0.254, 0.254, 0.239)
Cd (0.000, 0.000, 0.000)
Al (0.500, 0.500, 0.500)

Summary:
- formation energy (kJ/mol of atoms) = -45
- calculated volume (Å³/atom) = 16.7

---

2.
A plane-wave DFT calculation with PBE was carried out for a geometry-optimized Li2Al2CdAu2 structure.

Unit cell a=4.476 b=4.471 c=7.444 alpha=107.47 beta=90.00 gamma=120.04
Atoms (fractional coordinates):
Au (0.737, 0.474, 0.209)
Au (0.263, 0.526, 0.791)
Al (0.584, 0.169, 0.754)
Al (0.416, 0.831, 0.246)
Li (0.138, 0.277, 0.415)
Li (0.862, 0.723, 0.585)
Cd (0.000, 0.000, 0.000)

Summary:
- formation energy (kJ/mol of atoms) = -38
- calculated volume (Å³/atom) = 17.3

---

3.
A plane-wave DFT calculation with PBE was carried out for a geometry-optimized Mg2AlCdAu4 structure.

Unit cell a=4.650 b=4.650 c=8.147 alpha=73.42 beta=73.42 gamma=60.00
Atoms (fractional coordinates):
Au (0.616, 0.616, 0.151)
Au (0.868, 0.868, 0.397)
Au (0.132, 0.132, 0.603)
Au (0.384, 0.384, 0.849)
Mg (0.254, 0.254, 0.239)
Mg (0.746, 0.746, 0.761)
Al (0.500, 0.500, 0.500)
Cd (0.000, 0.000, 0.000)

Summary:
- formation energy (kJ/mol of atoms) = -44
- calculated volume (Å³/atom) = 18.0

---

no.,magnetization (Bohr magnetons per cell)
1,0.0
2,0.0
3,0.0